Computed, not measured: a geometry-optimized CuBrCl2 structure at the PBE-GGA level of DFT.

a b c (Å): 6.731 6.731 6.731
angles (deg): 119.90 119.90 90.17
Fractional coordinates of all 8 atoms:
Cu: 0.000 0.000 0.000
Cu: 0.750 0.250 0.500
Br: 0.250 0.750 0.500
Br: 0.500 0.500 0.000
Cl: 0.009 0.625 0.884
Cl: 0.375 0.259 0.384
Cl: 0.741 0.125 0.116
Cl: 0.875 0.991 0.616

Calculated values
ΔE to the lowest computed polymorph, meV per atom: 238.2
E_tot, eV/cell: -19.04
Formation energy (no corrections), eV per atom: -0.014